1.
# TeWO6, optimized geometry, DFT GGA+U
data_TeWO6
_cell_length_a 4.872
_cell_length_b 9.793
_cell_length_c 4.875
_cell_angle_alpha 90.00
_cell_angle_beta 104.01
_cell_angle_gamma 90.00
_space_group_name_H-M_alt 'C 1 2/m 1'
_space_group_IT_number 12
loop_
_space_group_symop_operation_xyz
'x,y,z'
'-x,-y,-z'
'-x,y,-z'
'x,-y,z'
'x+1/2,y+1/2,z'
'-x+1/2,-y+1/2,-z'
'-x+1/2,y+1/2,-z'
'x+1/2,-y+1/2,z'
loop_
_atom_site_label
_atom_site_fract_x
_atom_site_fract_y
_atom_site_fract_z
Te1 0.000 0.000 0.000
W1 0.000 0.500 0.500
O1 0.245 0.131 0.247
O2 0.247 0.500 0.250
# Offset from the most stable computed form   0.183 eV per atom
# Crystal system   monoclinic

***

2.
# TeWO6, optimized geometry, DFT GGA+U
data_TeWO6
_cell_length_a 5.197
_cell_length_b 5.341
_cell_length_c 9.089
_cell_angle_alpha 90.00
_cell_angle_beta 124.85
_cell_angle_gamma 90.00
_space_group_name_H-M_alt 'P 1 21/c 1'
_space_group_IT_number 14
loop_
_space_group_symop_operation_xyz
'x,y,z'
'-x,-y,-z'
'-x,y+1/2,-z+1/2'
'x,-y+1/2,z+1/2'
loop_
_atom_site_label
_atom_site_fract_x
_atom_site_fract_y
_atom_site_fract_z
Te1 0.000 0.000 0.000
W1 0.500 0.000 0.500
O1 0.153 0.204 0.453
O2 0.250 0.704 0.452
O3 0.345 0.014 0.249
# Offset from the most stable computed form   0.002 eV per atom
# Crystal system   monoclinic

***

3.
# TeWO5, optimized geometry, DFT GGA+U
data_TeWO5
_cell_length_a 5.524
_cell_length_b 5.525
_cell_length_c 7.557
_cell_angle_alpha 71.88
_cell_angle_beta 71.86
_cell_angle_gamma 74.69
_space_group_name_H-M_alt 'P 1'
_space_group_IT_number 1
loop_
_space_group_symop_operation_xyz
'x,y,z'
loop_
_atom_site_label
_atom_site_fract_x
_atom_site_fract_y
_atom_site_fract_z
Te1 0.000 0.000 0.000
Te2 0.041 0.959 0.500
W1 0.536 0.495 0.239
W2 0.536 0.495 0.739
O1 0.236 0.775 0.301
O2 0.280 0.813 0.665
O3 0.292 0.297 0.833
O4 0.339 0.250 0.334
O5 0.483 0.576 0.982
O6 0.619 0.443 0.481
O7 0.753 0.777 0.131
O8 0.817 0.195 0.801
O9 0.818 0.713 0.632
O10 0.854 0.240 0.165
# Crystal system   triclinic

***

4.
# Te2WO8, optimized geometry, DFT GGA+U
data_Te2WO8
_cell_length_a 8.455
_cell_length_b 6.520
_cell_length_c 4.956
_cell_angle_alpha 90.00
_cell_angle_beta 104.04
_cell_angle_gamma 90.00
_space_group_name_H-M_alt 'C 1 2/m 1'
_space_group_IT_number 12
loop_
_space_group_symop_operation_xyz
'x,y,z'
'-x,-y,-z'
'-x,y,-z'
'x,-y,z'
'x+1/2,y+1/2,z'
'-x+1/2,-y+1/2,-z'
'-x+1/2,y+1/2,-z'
'x+1/2,-y+1/2,z'
loop_
_atom_site_label
_atom_site_fract_x
_atom_site_fract_y
_atom_site_fract_z
Te1 0.178 0.000 0.440
W1 0.000 0.500 0.000
O1 0.064 0.000 0.754
O2 0.145 0.311 0.297
O3 0.163 0.500 0.802
# Offset from the most stable computed form   0.027 eV per atom
# Crystal system   monoclinic

***

5.
# Te3WO12, optimized geometry, DFT GGA+U
data_Te3WO12
_cell_length_a 5.005
_cell_length_b 8.514
_cell_length_c 5.249
_cell_angle_alpha 90.00
_cell_angle_beta 92.08
_cell_angle_gamma 90.00
_space_group_name_H-M_alt 'P 1 2 1'
_space_group_IT_number 3
loop_
_space_group_symop_operation_xyz
'x,y,z'
'-x,y,-z'
loop_
_atom_site_label
_atom_site_fract_x
_atom_site_fract_y
_atom_site_fract_z
Te1 0.000 0.000 0.000
Te2 0.000 0.181 0.500
Te3 0.500 0.689 0.000
W1 0.500 0.500 0.500
O1 0.206 0.166 0.822
O2 0.213 0.020 0.320
O3 0.243 0.344 0.395
O4 0.248 0.847 0.864
O5 0.292 0.529 0.807
O6 0.298 0.665 0.307
# Offset from the most stable computed form   0.025 eV per atom
# Crystal system   monoclinic

***

6.
# TeWO4, optimized geometry, DFT GGA+U
data_TeWO4
_cell_length_a 6.951
_cell_length_b 6.951
_cell_length_c 6.715
_cell_angle_alpha 90.00
_cell_angle_beta 90.00
_cell_angle_gamma 90.00
_space_group_name_H-M_alt 'I 41 m d'
_space_group_IT_number 109
_space_group_name_Hall 'I 4bw -2'
loop_
_atom_site_label
_atom_site_fract_x
_atom_site_fract_y
_atom_site_fract_z
Te1 0.000 0.000 0.000
W1 0.000 0.000 0.497
O1 0.000 0.190 0.253
O2 0.000 0.203 0.734
# Crystal system   tetragonal

***

| no. | electronic total energy (eV per formula unit) |
| --- | --- |
| 1 | -49.7 |
| 2 | -51.1 |
| 3 | -45.8 |
| 4 | -64.9 |
| 5 | -93.1 |
| 6 | -38.6 |